Entry 1:
Density functional theory data (PBE) for crystalline CaBeCr2 at its relaxed geometry.

The calculation puts the formation energy from the elements at 984.9 meV per atom. The value obtained for the raw total energy is -84.14 eV/cell.

It has space group I-42d (No. 122), with a = 4.009 Å, b = 4.009 Å, c = 17.611 Å, α = 90.00°, β = 90.00° and γ = 90.00°. Symmetry generates all atoms from Ca at (0.000, 0.000, 0.000), Be at (0.000, 0.000, 0.500) and Cr at (0.066, 0.250, 0.625).

Entry 2:
Density functional theory data (PBE) for crystalline Ce2AlRu2 at its relaxed geometry.

The calculation puts the formation energy from the elements at -516.6 meV per atom. The value obtained for the raw total energy is -146.98 eV/cell.

It has space group Cmce (No. 64), with a = 5.927 Å, b = 10.043 Å, c = 6.877 Å, α = 90.00°, β = 90.00° and γ = 90.00°. Symmetry generates all atoms from Ce at (0.000, 0.159, 0.079), Al at (0.000, 0.000, 0.500) and Ru at (0.250, 0.121, 0.750).